(1)
The following is a meta-GGA SCAN calculation of a PBEsol-optimized structure of Tm4Al2O9, from Alexandria.

* uncorrected formation energy: -5487 kJ/mol of formula units
* total DFT energy (no corrections): -1343.134 eV for the cell shown
* magnetization: 0.00 μB/f.u.

CIF file:
```
data_Tm4Al2O9
_chemical_formula_sum 'Tm16 Al8 O36'
_cell_length_a 7.180
_cell_length_b 10.278
_cell_length_c 11.009
_cell_angle_alpha 90.00
_cell_angle_beta 108.05
_cell_angle_gamma 90.00
_space_group_name_H-M_alt 'P 1'
_space_group_IT_number 1
loop_
_space_group_symop_operation_xyz
'x,y,z'
loop_
_atom_site_label
_atom_site_fract_x
_atom_site_fract_y
_atom_site_fract_z
O1 0.807 0.491 0.343
O2 0.937 0.493 0.109
O3 0.865 0.267 0.542
O4 0.068 0.241 0.886
O5 0.292 0.744 0.247
O6 0.712 0.508 0.651
O7 0.063 0.993 0.391
O8 0.865 0.233 0.042
O9 0.731 0.756 0.771
O10 0.579 0.008 0.393
O11 0.569 0.766 0.979
O12 0.421 0.508 0.107
O13 0.269 0.256 0.729
O14 0.193 0.509 0.657
O15 0.135 0.767 0.958
O16 0.932 0.741 0.614
O17 0.569 0.734 0.479
O18 0.063 0.507 0.891
O19 0.712 0.992 0.151
O20 0.269 0.244 0.229
O21 0.937 0.007 0.609
O22 0.288 0.492 0.349
O23 0.731 0.744 0.271
O24 0.708 0.244 0.253
O25 0.431 0.234 0.021
O26 0.288 0.008 0.849
O27 0.193 0.991 0.157
O28 0.708 0.256 0.753
O29 0.431 0.266 0.521
O30 0.135 0.733 0.458
O31 0.807 0.009 0.843
O32 0.579 0.492 0.893
O33 0.932 0.759 0.114
O34 0.421 0.992 0.607
O35 0.068 0.259 0.386
O36 0.292 0.756 0.747
Tm1 0.842 0.873 0.440
Tm2 0.158 0.373 0.060
Tm3 0.978 0.385 0.718
Tm4 0.338 0.881 0.415
Tm5 0.022 0.885 0.782
Tm6 0.158 0.127 0.560
Tm7 0.521 0.900 0.804
Tm8 0.662 0.381 0.085
Tm9 0.338 0.619 0.915
Tm10 0.842 0.627 0.940
Tm11 0.479 0.100 0.196
Tm12 0.978 0.115 0.218
Tm13 0.022 0.615 0.282
Tm14 0.479 0.400 0.696
Tm15 0.521 0.600 0.304
Tm16 0.662 0.119 0.585
Al1 0.287 0.175 0.874
Al2 0.845 0.328 0.390
Al3 0.155 0.828 0.110
Al4 0.287 0.325 0.374
Al5 0.845 0.172 0.890
Al6 0.155 0.672 0.610
Al7 0.713 0.825 0.126
Al8 0.713 0.675 0.626
```

***

(2)
The following is a meta-GGA SCAN calculation of a PBEsol-optimized structure of AlVO3, from Alexandria.

* uncorrected formation energy: -1440 kJ/mol of formula units
* total DFT energy (no corrections): -117.712 eV for the cell shown
* magnetization: 2.00 μB/f.u.

CIF file:
```
data_AlVO3
_chemical_formula_sum 'Al2 V2 O6'
_cell_length_a 4.841
_cell_length_b 4.841
_cell_length_c 5.333
_cell_angle_alpha 63.01
_cell_angle_beta 63.01
_cell_angle_gamma 60.00
_space_group_name_H-M_alt 'P 1'
_space_group_IT_number 1
loop_
_space_group_symop_operation_xyz
'x,y,z'
loop_
_atom_site_label
_atom_site_fract_x
_atom_site_fract_y
_atom_site_fract_z
O1 0.943 0.236 0.263
O2 0.558 0.943 0.263
O3 0.236 0.558 0.263
O4 0.057 0.764 0.737
O5 0.442 0.057 0.737
O6 0.764 0.442 0.737
V1 0.348 0.348 0.955
V2 0.652 0.652 0.045
Al1 0.849 0.849 0.452
Al2 0.151 0.151 0.548
```

***

(3)
The following is a meta-GGA SCAN calculation of a PBEsol-optimized structure of AlVO3, from Alexandria.

* uncorrected formation energy: -1406 kJ/mol of formula units
* total DFT energy (no corrections): -468.019 eV for the cell shown
* magnetization: 1.24 μB/f.u.

CIF file:
```
data_AlVO3
_chemical_formula_sum 'Al8 V8 O24'
_cell_length_a 5.808
_cell_length_b 5.622
_cell_length_c 12.781
_cell_angle_alpha 102.70
_cell_angle_beta 101.17
_cell_angle_gamma 90.00
_space_group_name_H-M_alt 'P 1'
_space_group_IT_number 1
loop_
_space_group_symop_operation_xyz
'x,y,z'
loop_
_atom_site_label
_atom_site_fract_x
_atom_site_fract_y
_atom_site_fract_z
O1 0.884 0.108 0.750
O2 0.366 0.653 0.760
O3 0.900 0.127 0.255
O4 0.696 0.959 0.412
O5 0.997 0.285 0.569
O6 0.721 0.458 0.917
O7 0.224 0.459 0.919
O8 0.052 0.768 0.087
O9 0.543 0.797 0.595
O10 0.539 0.313 0.065
O11 0.365 0.618 0.236
O12 0.052 0.319 0.087
O13 0.045 0.798 0.595
O14 0.859 0.617 0.235
O15 0.366 0.107 0.760
O16 0.350 0.135 0.270
O17 0.212 0.957 0.914
O18 0.884 0.641 0.750
O19 0.221 0.963 0.422
O20 0.696 0.452 0.412
O21 0.221 0.458 0.422
O22 0.557 0.282 0.565
O23 0.539 0.753 0.065
O24 0.746 0.964 0.928
Al1 0.306 0.538 0.075
Al2 0.027 0.007 0.014
Al3 0.259 0.756 0.512
Al4 0.123 0.875 0.751
Al5 0.652 0.661 0.321
Al6 0.782 0.538 0.077
Al7 0.939 0.416 0.831
Al8 0.461 0.208 0.417
V1 0.606 0.885 0.771
V2 0.478 0.175 0.912
V3 0.961 0.206 0.413
V4 0.122 0.380 0.255
V5 0.478 0.737 0.912
V6 0.784 0.543 0.582
V7 0.784 0.039 0.582
V8 0.122 0.875 0.255
```